Cs3Np2MnTe6 | PBE | optimized geometry

a = 7.847 Å, b = 7.847 Å, c = 9.214 Å
α = 98.18°, β = 98.18°, γ = 120.02°
Atoms (fractional coordinates):
Cs 0.000 0.000 0.000
Cs 0.331 0.669 0.000
Cs 0.669 0.331 0.000
Np 0.166 0.834 0.500
Np 0.834 0.166 0.500
Mn 0.500 0.500 0.500
Te 0.118 0.439 0.318
Te 0.240 0.240 0.684
Te 0.439 0.118 0.318
Te 0.561 0.882 0.682
Te 0.760 0.760 0.316
Te 0.882 0.561 0.682

Calculated values
space-group type: C2/m, No. 12
ΔE_f (raw): -0.7495 eV/atom

YSc2Si | PBE | optimized geometry

a = 3.357 Å, b = 3.357 Å, c = 8.205 Å
α = 90.00°, β = 90.00°, γ = 90.00°
Atoms (fractional coordinates):
Y 0.000 0.000 0.000
Sc 0.500 0.500 0.306
Sc 0.500 0.500 0.694
Si 0.000 0.000 0.500

Calculated values
space-group type: P4/mmm, No. 123
ΔE_f (raw): -0.2620 eV/atom

LiCeSn2S5 | PBE | optimized geometry

a = 8.573 Å, b = 8.573 Å, c = 13.495 Å
α = 90.00°, β = 90.00°, γ = 153.31°
Atoms (fractional coordinates):
Li 0.052 0.948 0.500
Li 0.948 0.052 0.000
Ce 0.273 0.727 0.065
Ce 0.727 0.273 0.565
Sn 0.394 0.606 0.303
Sn 0.411 0.589 0.686
Sn 0.589 0.411 0.186
Sn 0.606 0.394 0.803
S 0.004 0.996 0.319
S 0.106 0.894 0.056
S 0.201 0.799 0.440
S 0.249 0.751 0.709
S 0.432 0.568 0.114
S 0.568 0.432 0.614
S 0.751 0.249 0.209
S 0.799 0.201 0.940
S 0.894 0.106 0.556
S 0.996 0.004 0.819

Calculated values
space-group type: Cmc2_1, No. 36
ΔE_f (raw): -0.9209 eV/atom

Cs2In3 | PBE | optimized geometry

a = 7.835 Å, b = 7.835 Å, c = 8.584 Å
α = 105.28°, β = 105.28°, γ = 66.60°
Atoms (fractional coordinates):
Cs 0.123 0.235 0.165
Cs 0.235 0.123 0.665
Cs 0.765 0.877 0.335
Cs 0.877 0.765 0.835
In 0.303 0.576 0.559
In 0.326 0.674 0.250
In 0.424 0.697 0.941
In 0.576 0.303 0.059
In 0.674 0.326 0.750
In 0.697 0.424 0.441

Calculated values
space-group type: C2/c, No. 15
DFT total energy: -2.09 eV/atom

Li8Mg2Cu | PBE | optimized geometry

a = 6.989 Å, b = 6.989 Å, c = 6.015 Å
α = 101.95°, β = 101.95°, γ = 46.05°
Atoms (fractional coordinates):
Li 0.105 0.105 0.962
Li 0.181 0.688 0.637
Li 0.251 0.251 0.666
Li 0.312 0.819 0.363
Li 0.688 0.181 0.637
Li 0.749 0.749 0.334
Li 0.819 0.312 0.363
Li 0.895 0.895 0.038
Mg 0.331 0.331 0.188
Mg 0.669 0.669 0.812
Cu 0.500 0.500 0.000

Calculated values
distance to the lowest polymorph of the same formula: 0.31 eV/f.u.
space-group type: C2/m, No. 12

Ca2SnBi2 | PBE | optimized geometry

a = 8.949 Å, b = 8.949 Å, c = 3.947 Å
α = 90.00°, β = 90.00°, γ = 90.00°
Atoms (fractional coordinates):
Ca 0.134 0.366 0.000
Ca 0.366 0.866 0.000
Ca 0.634 0.134 0.000
Ca 0.866 0.634 0.000
Sn 0.000 0.000 0.000
Sn 0.500 0.500 0.000
Bi 0.172 0.672 0.500
Bi 0.328 0.172 0.500
Bi 0.672 0.828 0.500
Bi 0.828 0.328 0.500

Calculated values
distance to the lowest polymorph of the same formula: 0.69 eV/f.u.
space-group type: P4/mbm, No. 127

K3Ce2InS6 | PBE | optimized geometry

a = 7.217 Å, b = 7.217 Å, c = 7.697 Å
α = 98.96°, β = 98.96°, γ = 119.97°
Atoms (fractional coordinates):
K 0.000 0.000 0.000
K 0.336 0.664 0.000
K 0.664 0.336 0.000
Ce 0.167 0.833 0.500
Ce 0.833 0.167 0.500
In 0.500 0.500 0.500
S 0.099 0.432 0.297
S 0.234 0.234 0.702
S 0.432 0.099 0.297
S 0.568 0.901 0.703
S 0.766 0.766 0.298
S 0.901 0.568 0.703

Calculated values
space-group type: C2/m, No. 12
ΔE_f (raw): -1.4670 eV/atom